(1)
## ScCo2 (GGA-PBEsol)

Data for a relaxed ScCo2 crystal.

Lattice parameters (Å, degrees): 4.7637 4.7637 4.7637 60.00 60.00 60.00
Positions (direct):
Sc  0.7500  0.7500  0.7500
Sc  0.5000  0.5000  0.5000
Co  0.1250  0.6250  0.1250
Co  0.1250  0.1250  0.6250
Co  0.1250  0.1250  0.1250
Co  0.6250  0.1250  0.1250

Computed properties:
**Space-group type**: Fd-3m, No. 227

---

(2)
## ScCo2 (GGA-PBEsol)

Data for a relaxed ScCo2 crystal.

Lattice parameters (Å, degrees): 4.5406 5.2094 4.5406 64.16 90.00 115.84
Site moments in Bohr magnetons follow the coordinates.
Positions (direct):
Co  0.8218  0.0000  0.6782  0.61
Co  0.3218  0.0000  0.8218  0.61
Co  0.6782  0.0000  0.1782  0.61
Co  0.1782  0.0000  0.3218  0.61
Sc  0.2500  0.5000  0.7500  -0.13
Sc  0.7500  0.5000  0.2500  -0.13

Computed properties:
**Space-group type**: I4/mcm, No. 140

---

(3)
## ScCo3 (GGA-PBEsol)

Data for a relaxed ScCo3 crystal.

Lattice parameters (Å, degrees): 3.0578 4.0005 4.7803 114.74 108.65 90.00
Site moments in Bohr magnetons follow the coordinates.
Positions (direct):
Co  0.7599  0.7599  0.5197  1.54
Co  0.2401  0.2401  0.4803  1.54
Co  0.5000  0.0000  0.0000  1.27
Sc  0.0000  0.5000  0.0000  -0.23

Computed properties:
**Space-group type**: Immm, No. 71

---

(4)
## Sc3Co2 (GGA-PBEsol)

Data for a relaxed Sc3Co2 crystal.

Lattice parameters (Å, degrees): 4.3085 4.3085 5.3153 90.00 90.00 120.00
Positions (direct):
Sc  0.0000  0.0000  0.0000
Sc  0.3333  0.6667  0.3369
Sc  0.6667  0.3333  0.6631
Co  0.3333  0.6667  0.8496
Co  0.6667  0.3333  0.1504

Computed properties:
**Space-group type**: P-3m1, No. 164

---

(5)
## ScCo5 (GGA-PBEsol)

Data for a relaxed ScCo5 crystal.

Lattice parameters (Å, degrees): 2.6145 4.0100 6.7577 90.00 101.15 90.00
Site moments in Bohr magnetons follow the coordinates.
Positions (direct):
Co  0.9865  0.0000  0.9729  1.37
Co  0.3282  0.0000  0.6565  1.36
Co  0.6756  0.0000  0.3513  0.81
Co  0.4378  0.5000  0.8756  1.42
Co  0.7899  0.5000  0.5798  1.44
Sc  0.1153  0.5000  0.2306  -0.28

Computed properties:
**Space-group type**: Amm2, No. 38

---

(6)
## ScCo2 (GGA-PBEsol)

Data for a relaxed ScCo2 crystal.

Lattice parameters (Å, degrees): 3.2571 3.2571 4.2475 90.00 90.00 90.00
Site moments in Bohr magnetons follow the coordinates.
Positions (direct):
Co  0.0000  0.5000  0.5000  1.22
Co  0.5000  0.0000  0.5000  1.22
Sc  0.0000  0.0000  0.0000  -0.22

Computed properties:
**Space-group type**: P4/mmm, No. 123

---

Computed values of DFT formation energy (unit: eV/atom) for the preceding records, in sequence: -0.37, -0.06, -0.01, -0.23, 0.07, 0.15.